[1]
{"formula": "PrAg3Sn3", "functional": "PBE", "state": "optimized geometry", "dos_ef_per_ev_fu": 3.56, "formation_enthalpy_0k_ev_per_atom": -0.083, "polymorph_energy_ev_per_atom": 0.000, "m_tot_mub_per_cell": 0.0, "sg": "R-3", "cell": [[-7.899, 2.827, -2.021], [-6.826, -2.628, 4.579], [-4.203, 4.681, 4.552]], "species": ["Sn", "Sn", "Sn", "Sn", "Sn", "Sn", "Ag", "Ag", "Ag", "Ag", "Ag", "Ag", "Pr", "Pr"], "fractional_positions": [[0.761, 0.408, 0.743], [0.592, 0.912, 0.257], [0.912, 0.239, 0.257], [0.088, 0.761, 0.743], [0.408, 0.088, 0.743], [0.239, 0.592, 0.257], [0.580, 0.245, 0.259], [0.084, 0.420, 0.741], [0.245, 0.916, 0.259], [0.755, 0.084, 0.741], [0.420, 0.755, 0.741], [0.916, 0.580, 0.259], [0.668, 0.668, 0.996], [0.332, 0.332, 0.004]]}


[2]
{"formula": "NdDy4Tm7", "functional": "PBE", "state": "optimized geometry", "dos_ef_per_ev_fu": 20.60, "formation_enthalpy_0k_ev_per_atom": 0.282, "polymorph_energy_ev_per_atom": 0.281, "m_tot_mub_per_cell": 0.0, "sg": "C2/m", "cell": [[5.800, 0.000, 0.000], [2.900, 11.068, -0.241], [2.900, 0.199, 6.005]], "species": ["Tm", "Tm", "Tm", "Tm", "Tm", "Tm", "Tm", "Dy", "Dy", "Dy", "Dy", "Nd"], "fractional_positions": [[0.635, 0.497, 0.233], [0.500, 0.000, 0.000], [0.365, 0.503, 0.767], [0.211, 0.077, 0.501], [0.940, 0.328, 0.792], [0.060, 0.672, 0.208], [0.789, 0.923, 0.499], [0.247, 0.318, 0.188], [0.633, 0.225, 0.510], [0.753, 0.682, 0.812], [0.367, 0.775, 0.490], [0.000, 0.000, 0.000]]}